Entry 1:
YReRh2 | the Alexandria database | GGA-PBE | optimized geometry; DOS(E_F) = 2.447 states/eV per cell; symmetry = F-43m, No. 216; energy above the lowest structure with this stoichiometry = 0.3187 eV/atom; crystal system = cubic; E_tot = -8.26 eV/atom
1.0
0.000 3.235 3.235
3.235 0.000 3.235
3.235 3.235 0.000
Y Re Rh
1 1 2
Cartesian
0.000 0.000 0.000
1.618 1.618 1.618
3.235 3.235 3.235
4.853 4.853 4.853

Entry 2:
InReTe2N | the Alexandria database | GGA-PBE | optimized geometry; DOS(E_F) = 3.657 states/eV per cell; symmetry = P4/mmm, No. 123; formation energy without anion corrections = 1.78 eV/atom; energy above the lowest structure with this stoichiometry = 1.5682 eV/atom; crystal system = tetragonal; E_tot = -4.18 eV/atom
1.0
5.717 0.000 0.000
0.000 5.717 0.000
0.000 0.000 4.007
In Re Te N
1 1 2 1
Cartesian
0.000 0.000 0.000
2.859 2.859 2.004
0.000 2.859 0.000
2.859 0.000 0.000
0.000 0.000 2.004

Entry 3:
BeIn | the Alexandria database | GGA-PBE | optimized geometry; DOS(E_F) = 2.662 states/eV per cell; symmetry = Pmn2_1, No. 31; energy above the lowest structure with this stoichiometry = 0.0478 eV/atom; crystal system = orthorhombic; E_tot = -2.90 eV/atom
1.0
11.253 0.000 0.000
0.000 4.782 0.000
0.000 0.000 4.004
Be In
6 6
Cartesian
0.000 1.158 0.000
1.069 1.142 1.966
4.558 3.640 3.968
5.626 3.624 2.002
6.695 3.640 3.968
10.184 1.142 1.966
0.000 3.540 2.672
2.685 1.195 3.954
2.942 3.586 1.952
5.626 1.242 0.670
8.311 3.586 1.952
8.568 1.195 3.954